VASP calculation (PBE-GGA) on a relaxed BaMg2TlRu crystal.

Density: 5.8 g cm⁻³
Calculated formation energy: -0.077 eV/atom

Structure (POSCAR):
```
BaMg2TlRu
1.0
5.141 0.000 0.000
0.000 5.141 0.000
0.000 0.000 5.337
Ba Mg Tl Ru
1 2 1 1
Direct
0.000 0.000 0.000 Ba
0.000 0.500 0.500 Mg
0.500 0.000 0.500 Mg
0.500 0.500 0.000 Tl
0.500 0.500 0.500 Ru
```